## one
First-principles (GGA-PBE) data for an optimized crystal structure of OsI2NO, as listed in the Alexandria database.

magnetic moment	0.00	μB per formula unit
SG	No. 123
N(E_F)	7.4	states/eV/cell

a b c (Å): 5.4376 5.4376 3.6833
angles (deg): 90.00 90.00 90.00
Positions (direct):
Os: 0.0000 0.0000 0.0000
I: 0.0000 0.5000 0.0000
I: 0.5000 0.0000 0.0000
N: 0.0000 0.0000 0.5000
O: 0.5000 0.5000 0.5000

=====

## two
First-principles (GGA-PBE) data for an optimized crystal structure of OsI2NO, as listed in the Alexandria database.

magnetic moment	1.86	μB per formula unit
SG	No. 123
N(E_F)	3.6	states/eV/cell

a b c (Å): 4.9349 4.9349 3.5351
angles (deg): 90.00 90.00 90.00
Positions (direct):
Os: 0.0000 0.0000 0.0000
I: 0.0000 0.5000 0.5000
I: 0.5000 0.0000 0.5000
N: 0.5000 0.5000 0.0000
O: 0.5000 0.5000 0.5000

=====

Least stable: two

=====

## one
First-principles (GGA-PBE) data for an optimized crystal structure of Zr2ScCr, as listed in the Alexandria database.

magnetic moment	2.69	μB per formula unit
SG	No. 123
N(E_F)	5.6	states/eV/cell

a b c (Å): 4.3867 4.3867 4.3899
angles (deg): 90.00 90.00 90.00
Positions (direct):
Zr: 0.0000 0.5000 0.0000
Zr: 0.5000 0.0000 0.0000
Sc: 0.0000 0.0000 0.5000
Cr: 0.5000 0.5000 0.5000

=====

## two
First-principles (GGA-PBE) data for an optimized crystal structure of Zr2ScCr, as listed in the Alexandria database.

magnetic moment	1.40	μB per formula unit
SG	No. 12
N(E_F)	5.8	states/eV/cell

a b c (Å): 4.8277 4.8277 3.4933
angles (deg): 90.08 90.08 90.46
Positions (direct):
Zr: 0.0000 0.5000 0.0000
Zr: 0.5000 0.0000 0.0000
Sc: 0.0000 0.0000 0.5000
Cr: 0.5000 0.5000 0.5000

=====

Least stable: two

=====

## one
First-principles (GGA-PBE) data for an optimized crystal structure of MnRe2Mo, as listed in the Alexandria database.

magnetic moment	0.70	μB per formula unit
SG	No. 166
N(E_F)	4.9	states/eV/cell

a b c (Å): 9.0849 9.0849 9.0849
angles (deg): 17.28 17.28 17.28
Positions (direct):
Mn: 0.0000 0.0000 0.0000
Re: 0.2562 0.2562 0.2562
Re: 0.7438 0.7438 0.7438
Mo: 0.5000 0.5000 0.5000

=====

## two
First-principles (GGA-PBE) data for an optimized crystal structure of MnRe2Mo, as listed in the Alexandria database.

magnetic moment	2.56	μB per formula unit
SG	No. 12
N(E_F)	3.3	states/eV/cell

a b c (Å): 5.1468 5.1468 2.6667
angles (deg): 100.46 100.46 117.26
Positions (direct):
Mn: 0.0000 0.0000 0.0000
Re: 0.0000 0.5000 0.5000
Re: 0.5000 0.0000 0.5000
Mo: 0.5000 0.5000 0.0000

=====

Least stable: one

=====

## one
First-principles (GGA-PBE) data for an optimized crystal structure of MoPbCl2, as listed in the Alexandria database.

magnetic moment	1.87	μB per formula unit
SG	No. 6
N(E_F)	0.9	states/eV/cell

a b c (Å): 4.9974 3.2779 7.0078
angles (deg): 90.00 103.81 90.00
Positions (direct):
Mo: 0.0000 0.0000 0.0000
Pb: 0.4845 0.5000 0.9363
Cl: 0.1510 0.5000 0.2670
Cl: 0.7790 0.0000 0.6567

=====

## two
First-principles (GGA-PBE) data for an optimized crystal structure of MoPbCl2, as listed in the Alexandria database.

magnetic moment	1.84	μB per formula unit
SG	No. 10
N(E_F)	1.7	states/eV/cell

a b c (Å): 3.4368 4.3665 5.8005
angles (deg): 90.00 97.11 90.00
Positions (direct):
Mo: 0.0000 0.0000 0.0000
Pb: 0.5000 0.0000 0.5000
Cl: 0.1332 0.5000 0.7790
Cl: 0.8668 0.5000 0.2210

=====

Least stable: two

=====

## one
First-principles (GGA-PBE) data for an optimized crystal structure of CoTcIr2, as listed in the Alexandria database.

magnetic moment	1.66	μB per formula unit
SG	No. 160
N(E_F)	4.9	states/eV/cell

a b c (Å): 8.8223 8.8223 8.8223
angles (deg): 17.69 17.69 17.69
Positions (direct):
Co: 0.0000 0.0000 0.0000
Tc: 0.7479 0.7479 0.7479
Ir: 0.2534 0.2534 0.2534
Ir: 0.4982 0.4982 0.4982

=====

## two
First-principles (GGA-PBE) data for an optimized crystal structure of CoTcIr2, as listed in the Alexandria database.

magnetic moment	0.00	μB per formula unit
SG	No. 225
N(E_F)	6.3	states/eV/cell

a b c (Å): 4.2867 4.2867 4.2867
angles (deg): 60.00 60.00 60.00
Positions (direct):
Co: 0.0000 0.0000 0.0000
Tc: 0.5000 0.5000 0.5000
Ir: 0.2500 0.2500 0.2500
Ir: 0.7500 0.7500 0.7500

=====

Least stable: two